This record from Alexandria describes Ca2TaMnO6 at its PBEsol-relaxed geometry. The functional is meta-GGA SCAN.

Computed properties:
DOS(E_F) in states/eV/atom: 0.143
Total magnetic moment in Bohr magnetons per cell: 8.00
Formation energy without anion corrections in eV/atom: -3.0375

Structure (CIF):
```
data_Ca2TaMnO6
_chemical_formula_sum 'Ca4 Ta2 Mn2 O12'
_space_group_name_H-M_alt 'P 1 21/m 1'
_space_group_IT_number 11
_cell_length_a 5.3916
_cell_length_b 7.6921
_cell_length_c 5.5619
_cell_angle_alpha 90.00
_cell_angle_beta 90.52
_cell_angle_gamma 90.00
loop_
_space_group_symop_operation_xyz
'x,y,z'
'-x,-y,-z'
'-x,y+1/2,-z'
'x,-y+1/2,z'
loop_
_atom_site_label
_atom_site_fract_x
_atom_site_fract_y
_atom_site_fract_z
Ca1 0.0095 0.2500 0.0412
Ca2 0.4877 0.2500 0.5653
Ta1 0.0000 0.0000 0.5000
Mn1 0.5000 0.0000 0.0000
O1 0.0926 0.7500 0.5291
O2 0.2001 0.0475 0.7917
O3 0.2925 0.0448 0.3003
O4 0.4159 0.7500 0.0239
```